# 1
A relaxed structure of Ce8Ge3Te4Se, computed with GGA-PBE.

```
data_Ce8Ge3Te4Se
_cell_length_a 8.6966
_cell_length_b 8.6966
_cell_length_c 21.6429
_cell_angle_alpha 90.00
_cell_angle_beta 90.00
_cell_angle_gamma 120.00
_space_group_name_H-M_alt 'R -3 m'
_space_group_IT_number 166
_space_group_name_Hall '-R 3 2"'
loop_
_atom_site_label
_atom_site_fract_x
_atom_site_fract_y
_atom_site_fract_z
Ce1 0.0000 0.0000 0.2422
Ce2 0.0028 0.5014 0.7576
Ge1 0.0000 0.5000 0.5000
Te1 0.0000 0.0000 0.0000
Te2 0.0000 0.5000 0.0000
Se1 0.0000 0.0000 0.5000
```

Calculated values
DFT total energy in eV per atom: -6.06
Calculated volume in Å³/cell: 1417.56
Raw formation energy in meV/atom: -1221



# 2
A relaxed structure of CsBe, computed with GGA-PBE.

```
data_CsBe
_cell_length_a 10.5374
_cell_length_b 10.5374
_cell_length_c 10.5374
_cell_angle_alpha 90.00
_cell_angle_beta 90.00
_cell_angle_gamma 90.00
_space_group_name_H-M_alt 'I -4 3 m'
_space_group_IT_number 217
_space_group_name_Hall 'I -4 2 3'
loop_
_atom_site_label
_atom_site_fract_x
_atom_site_fract_y
_atom_site_fract_z
Cs1 0.2193 0.2193 0.7807
Be1 0.0687 0.0687 0.0687
```

Calculated values
DFT total energy in eV per atom: -1.47
Calculated volume in Å³/cell: 1170.03
Relative energy among the computed polymorphs in meV/atom: 181
Formation energy from the elements in eV/atom: 0.821



# 3
A relaxed structure of AcSm2Fe, computed with GGA-PBE.

```
data_AcSm2Fe
_cell_length_a 3.7420
_cell_length_b 3.7420
_cell_length_c 32.4634
_cell_angle_alpha 90.00
_cell_angle_beta 90.00
_cell_angle_gamma 120.00
_space_group_name_H-M_alt 'R -3 m'
_space_group_IT_number 166
_space_group_name_Hall '-R 3 2"'
loop_
_atom_site_label
_atom_site_fract_x
_atom_site_fract_y
_atom_site_fract_z
Ac1 0.0000 0.0000 0.0000
Sm1 0.0000 0.0000 0.1145
Fe1 0.0000 0.0000 0.5000
```

Calculated values
DFT total energy in eV per atom: -5.16
Calculated volume in Å³/cell: 393.68
Relative energy among the computed polymorphs in meV/atom: 179
Formation energy from the elements in eV/atom: 0.343



# 4
A relaxed structure of Ce3PrS4, computed with GGA-PBE.

```
data_Ce3PrS4
_cell_length_a 5.7076
_cell_length_b 5.7076
_cell_length_c 5.7076
_cell_angle_alpha 90.00
_cell_angle_beta 90.00
_cell_angle_gamma 90.00
_space_group_name_H-M_alt 'P m -3 m'
_space_group_IT_number 221
_space_group_name_Hall '-P 4 2 3'
loop_
_atom_site_label
_atom_site_fract_x
_atom_site_fract_y
_atom_site_fract_z
Ce1 0.0000 0.0000 0.5000
Pr1 0.5000 0.5000 0.5000
S1 0.0000 0.0000 0.0000
S2 0.0000 0.5000 0.5000
```

Calculated values
DFT total energy in eV per atom: -6.93
Calculated volume in Å³/cell: 185.94
Raw formation energy in meV/atom: -2042